## AlGePt (PBE-GGA)

Data for a relaxed AlGePt crystal.

Calculated volume, Å³/atom: 17.7
Electronic total energy, eV per atom: -5.20

a b c (Å): 7.598 4.108 6.800
angles (deg): 90.00 90.00 90.00
Space group Pnma (No. 62)
Asymmetric unit:
Al (0.001, 0.250, 0.222) [4 per cell]
Ge (0.225, 0.750, 0.058) [4 per cell]
Pt (0.105, 0.750, 0.412) [4 per cell]